(1)
Here is crystalline Al4CuAgSe2 at its relaxed geometry from OQMD via LeMat-Bulk. Energies are from PBE. Values from VASP.

Computed properties:
For the energy, the calculation gives -28.49 eV for the cell shown.

Cell and atoms, written as Quantum ESPRESSO input:
```
&SYSTEM
  ibrav = 0, nat = 8, ntyp = 4
/
ATOMIC_SPECIES
Ag 107.87 Ag.upf
Al 26.98 Al.upf
Se 78.96 Se.upf
Cu 63.55 Cu.upf
CELL_PARAMETERS angstrom
-3.0295 3.0295 5.1968
3.0295 -3.0295 5.1968
3.0295 3.0295 -5.1968
ATOMIC_POSITIONS crystal
Ag 0.0000 0.0000 0.0000
Al 0.4033 0.9006 0.0293
Al 0.6259 0.5967 0.4972
Al 0.8713 0.3741 0.9707
Al 0.0994 0.1287 0.5028
Se 0.2500 0.7500 0.5000
Se 0.5000 0.5000 0.0000
Cu 0.7500 0.2500 0.5000
```


(2)
Here is crystalline TbTm2Al3CuAg2 at its relaxed geometry from OQMD via LeMat-Bulk. Energies are from PBE. Values from VASP.

Computed properties:
For the energy, the calculation gives -38.14 eV for the cell shown.

Cell and atoms, written as Quantum ESPRESSO input:
```
&SYSTEM
  ibrav = 0, nat = 9, ntyp = 5
/
ATOMIC_SPECIES
Ag 107.87 Ag.upf
Al 26.98 Al.upf
Tb 158.93 Tb.upf
Tm 168.93 Tm.upf
Cu 63.55 Cu.upf
CELL_PARAMETERS angstrom
4.0811 0.0000 0.0000
0.0000 6.2483 3.5931
0.0000 -6.2483 3.5931
ATOMIC_POSITIONS crystal
Ag 0.5000 0.3311 0.6700
Ag 0.5000 0.6700 0.3311
Al 0.5000 0.7709 0.7709
Al 0.5000 0.9997 0.2281
Al 0.5000 0.2281 0.9997
Tb 0.0000 0.4055 0.4055
Tm 0.0000 0.5978 0.0001
Tm 0.0000 0.0001 0.5978
Cu 0.0000 0.9968 0.9968
```


(3)
Here is crystalline Tm3Al2ZnCuAg2 at its relaxed geometry from OQMD via LeMat-Bulk. Energies are from PBE. Values from VASP.

Computed properties:
For the energy, the calculation gives -35.18 eV for the cell shown.

Cell and atoms, written as Quantum ESPRESSO input:
```
&SYSTEM
  ibrav = 0, nat = 9, ntyp = 5
/
ATOMIC_SPECIES
Al 26.98 Al.upf
Zn 65.41 Zn.upf
Ag 107.87 Ag.upf
Tm 168.93 Tm.upf
Cu 63.55 Cu.upf
CELL_PARAMETERS angstrom
4.0827 0.0000 0.0000
0.0000 6.1593 3.5766
0.0000 -6.1593 3.5766
ATOMIC_POSITIONS crystal
Al 0.5000 0.0016 0.2281
Al 0.5000 0.2281 0.0016
Zn 0.5000 0.7676 0.7676
Ag 0.5000 0.3275 0.6665
Ag 0.5000 0.6665 0.3275
Tm 0.0000 0.4070 0.4070
Tm 0.0000 0.5978 0.9961
Tm 0.0000 0.9961 0.5978
Cu 0.0000 0.0077 0.0077
```


(4)
Here is crystalline YAlCuAg at its relaxed geometry from OQMD via LeMat-Bulk. Energies are from PBE. Values from VASP.

Computed properties:
For the energy, the calculation gives -17.33 eV for the cell shown.

Cell and atoms, written as Quantum ESPRESSO input:
```
&SYSTEM
  ibrav = 0, nat = 4, ntyp = 4
/
ATOMIC_SPECIES
Al 26.98 Al.upf
Y 88.91 Y.upf
Cu 63.55 Cu.upf
Ag 107.87 Ag.upf
CELL_PARAMETERS angstrom
0.0000 3.3511 3.3511
3.3511 0.0000 3.3511
3.3511 3.3511 0.0000
ATOMIC_POSITIONS crystal
Al 0.0000 0.0000 0.0000
Y 0.2500 0.2500 0.2500
Cu 0.7500 0.7500 0.7500
Ag 0.5000 0.5000 0.5000
```


Q: energy of number 2 (TbTm2Al3CuAg2)?
A: -38.14 eV for the cell shown


Q: The highest energy belongs to which entry?
A: YAlCuAg


What did the third record say?
Here is crystalline Tm3Al2ZnCuAg2 at its relaxed geometry from OQMD via LeMat-Bulk. Energies are from PBE. Values from VASP.

Computed properties:
For the energy, the calculation gives -35.18 eV for the cell shown.

Cell and atoms, written as Quantum ESPRESSO input:
```
&SYSTEM
  ibrav = 0, nat = 9, ntyp = 5
/
ATOMIC_SPECIES
Al 26.98 Al.upf
Zn 65.41 Zn.upf
Ag 107.87 Ag.upf
Tm 168.93 Tm.upf
Cu 63.55 Cu.upf
CELL_PARAMETERS angstrom
4.0827 0.0000 0.0000
0.0000 6.1593 3.5766
0.0000 -6.1593 3.5766
ATOMIC_POSITIONS crystal
Al 0.5000 0.0016 0.2281
Al 0.5000 0.2281 0.0016
Zn 0.5000 0.7676 0.7676
Ag 0.5000 0.3275 0.6665
Ag 0.5000 0.6665 0.3275
Tm 0.0000 0.4070 0.4070
Tm 0.0000 0.5978 0.9961
Tm 0.0000 0.9961 0.5978
Cu 0.0000 0.0077 0.0077
```